VASP calculation (PBE) on a relaxed structure of Li4Mg5Pd.

```
Li4Mg5Pd
1.0
-2.4490 -2.0353 -1.0541
1.7451 -2.6558 1.0736
-7.4995 1.1883 15.1297
Li Mg Pd
4 5 1
direct
0.0000 0.0000 0.1895
0.0000 0.0000 0.3972
0.0000 0.0000 0.6028
0.0000 0.0000 0.8105
0.5000 0.5000 0.0867
0.5000 0.5000 0.2939
0.5000 0.5000 0.5000
0.5000 0.5000 0.7061
0.5000 0.5000 0.9133
0.0000 0.0000 0.0000
```

## Properties
* E_tot: -22.830 eV/cell
* formation energy: -201 meV per atom
* crystal system: tetragonal
* DOS(E_F): 3.9 states/eV/f.u.
* size of the total moment: 0.00 μB/f.u.
* calculated density: 2.2 g/cm³